Entry A
The following is a PBE calculation of a relaxed Na2GaS crystal, from Alexandria via LeMat-Bulk.

Results
Total moment = 0.000 μB per atom
Symmetry = Fm-3m

Cell: 5.0114 5.0114 5.0114 Å, 60.00 60.00 60.00°
Closest atoms and distances in Å follow each position.
Sites, in units of the cell vectors:
1 Na 0.2500 0.2500 0.2500  4 Ga 3.07, 4 S 3.07
2 Na 0.7500 0.7500 0.7500  4 S 3.07, 4 Ga 3.07
3 S 0.0000 0.0000 0.0000  8 Na 3.07
4 Ga 0.5000 0.5000 0.5000  8 Na 3.07



Entry B
The following is a PBE calculation of a relaxed Na2GaS crystal, from Alexandria via LeMat-Bulk.

Results
Total moment = 0.000 μB per atom
Symmetry = I-42d

Cell: 4.5961 4.5961 9.9315 Å, 76.62 76.62 90.00°
Closest atoms and distances in Å follow each position.
Sites, in units of the cell vectors:
1 Na 0.5843 0.1250 0.2500  2 S 2.78, 2 Ga 2.93, 2 Na 3.00
2 Na 0.1657 0.6250 0.2500  2 S 2.78, 2 Ga 2.93, 2 Na 3.00
3 Na 0.3750 0.4157 0.7500  2 S 2.78, 2 Ga 2.93, 2 Na 3.00
4 Na 0.8750 0.8343 0.7500  2 S 2.78, 2 Ga 2.93, 2 Na 3.00
5 S 0.5000 0.5000 0.0000  4 Na 2.78
6 S 0.2500 0.7500 0.5000  4 Na 2.78
7 Ga 0.0000 0.0000 0.0000  4 Na 2.93, 4 S 3.25
8 Ga 0.7500 0.2500 0.5000  4 Na 2.93, 4 S 3.25



Short version: entry A, entry B, most stable first.



Entry A
The following is a PBE calculation of a relaxed NaGaS crystal, from Alexandria via LeMat-Bulk.

Results
Total moment = 0.000 μB per atom
Symmetry = P3m1

Cell: 5.6859 3.7093 3.7093 Å, 120.00 90.00 90.00°
Closest atoms and distances in Å follow each position.
Sites, in units of the cell vectors:
1 Na 0.6309 0.3333 0.6667  3 S 2.84
2 S 0.3023 0.6667 0.3333  3 Ga 2.53
3 Ga 0.0669 0.0000 0.0000  3 S 2.53



Entry B
The following is a PBE calculation of a relaxed NaGaS crystal, from Alexandria via LeMat-Bulk.

Results
Total moment = 0.000 μB per atom
Symmetry = Fddd

Cell: 6.6692 6.6692 8.6432 Å, 115.97 115.97 82.25°
Closest atoms and distances in Å follow each position.
Sites, in units of the cell vectors:
1 Na 0.6326 0.6326 0.2653  4 S 2.78-2.80
2 Na 0.3674 0.3674 0.7347  4 S 2.78-2.80
3 Na 0.6174 0.1174 0.2347  4 S 2.78-2.80
4 Na 0.8826 0.3826 0.7653  4 S 2.78-2.80
5 S 0.9584 0.4584 0.5000  2 Ga 2.66, 4 Na 2.78-2.80
6 S 0.7084 0.7084 0.0000  2 Ga 2.66, 4 Na 2.78-2.80
7 S 0.5416 0.0416 0.5000  2 Ga 2.66, 4 Na 2.78-2.80
8 S 0.2916 0.2916 0.0000  2 Ga 2.66, 4 Na 2.78-2.80
9 Ga 0.1250 0.3750 0.2500  2 S 2.66
10 Ga 0.1250 0.8750 0.7500  2 S 2.66
11 Ga 0.1250 0.8750 0.2500  2 S 2.66
12 Ga 0.6250 0.8750 0.7500  2 S 2.66



Short version: entry A, entry B, most stable first.